# 1
Entry from Alexandria via LeMat-Bulk: a geometry-optimized PuZrUNb structure (PBE-GGA).

Geometry as CIF:
```
data_PuZrUNb
_cell_length_a 4.9566
_cell_length_b 4.9566
_cell_length_c 4.9566
_cell_angle_alpha 60.00
_cell_angle_beta 60.00
_cell_angle_gamma 60.00
_symmetry_space_group_name_H-M 'P 1'
_symmetry_Int_Tables_number 1
loop_
_symmetry_equiv_pos_as_xyz
'x,y,z'
loop_
_atom_site_label
_atom_site_type_symbol
_atom_site_fract_x
_atom_site_fract_y
_atom_site_fract_z
Pu1 Pu 0.0000 0.0000 0.0000
Zr1 Zr 0.2500 0.2500 0.2500
Nb1 Nb 0.5000 0.5000 0.5000
U1 U 0.7500 0.7500 0.7500
```

Properties
ΔE_f in eV per atom: 0.20
Total magnetic moment in Bohr magnetons per cell: 7.47
Theoretical density in g/cm³: 12.847
Energy in eV per cell: -43.4
Space-group type: F-43m, No. 216

=====

# 2
Entry from Alexandria via LeMat-Bulk: a geometry-optimized PuNbV structure (PBE-GGA).

Geometry as CIF:
```
data_PuNbV
_cell_length_a 2.8935
_cell_length_b 4.6232
_cell_length_c 4.6232
_cell_angle_alpha 120.00
_cell_angle_beta 90.00
_cell_angle_gamma 90.00
_symmetry_space_group_name_H-M 'P 1'
_symmetry_Int_Tables_number 1
loop_
_symmetry_equiv_pos_as_xyz
'x,y,z'
loop_
_atom_site_label
_atom_site_type_symbol
_atom_site_fract_x
_atom_site_fract_y
_atom_site_fract_z
Nb1 Nb 0.6753 0.6667 0.3333
V1 V 0.3184 0.3333 0.6667
Pu1 Pu 0.0063 0.0000 0.0000
```

Properties
ΔE_f in eV per atom: 0.24
Total magnetic moment in Bohr magnetons per cell: 4.21
Theoretical density in g/cm³: 12.025
Energy in eV per cell: -32.8
Space-group type: P3m1, No. 156

=====

# 3
Entry from Alexandria via LeMat-Bulk: a geometry-optimized PuNbV4 structure (PBE-GGA).

Geometry as CIF:
```
data_PuNbV4
_cell_length_a 5.1378
_cell_length_b 5.1378
_cell_length_c 5.1378
_cell_angle_alpha 60.00
_cell_angle_beta 60.00
_cell_angle_gamma 60.00
_symmetry_space_group_name_H-M 'P 1'
_symmetry_Int_Tables_number 1
loop_
_symmetry_equiv_pos_as_xyz
'x,y,z'
loop_
_atom_site_label
_atom_site_type_symbol
_atom_site_fract_x
_atom_site_fract_y
_atom_site_fract_z
V1 V 0.1260 0.6247 0.6247
V2 V 0.6247 0.6247 0.6247
Pu1 Pu 0.0000 0.0000 0.0000
V3 V 0.6247 0.6247 0.1260
V4 V 0.6247 0.1260 0.6247
Nb1 Nb 0.2500 0.2500 0.2500
```

Properties
ΔE_f in eV per atom: 0.21
Total magnetic moment in Bohr magnetons per cell: 4.77
Theoretical density in g/cm³: 9.362
Energy in eV per cell: -59.6
Space-group type: F-43m, No. 216

=====

# 4
Entry from Alexandria via LeMat-Bulk: a geometry-optimized Pu2NbV structure (PBE-GGA).

Geometry as CIF:
```
data_Pu2NbV
_cell_length_a 2.9295
_cell_length_b 2.9295
_cell_length_c 10.7524
_cell_angle_alpha 82.17
_cell_angle_beta 82.17
_cell_angle_gamma 60.00
_symmetry_space_group_name_H-M 'P 1'
_symmetry_Int_Tables_number 1
loop_
_symmetry_equiv_pos_as_xyz
'x,y,z'
loop_
_atom_site_label
_atom_site_type_symbol
_atom_site_fract_x
_atom_site_fract_y
_atom_site_fract_z
Pu1 Pu 0.0909 0.0909 0.7272
Nb1 Nb 0.0000 0.0000 0.0000
Pu2 Pu 0.9091 0.9091 0.2728
V1 V 0.5000 0.5000 0.5000
```

Properties
ΔE_f in eV per atom: 0.61
Total magnetic moment in Bohr magnetons per cell: 8.93
Theoretical density in g/cm³: 13.295
Energy in eV per cell: -45.4
Space-group type: R-3m, No. 166

=====

# 5
Entry from Alexandria via LeMat-Bulk: a geometry-optimized PuNb2W structure (PBE-GGA).

Geometry as CIF:
```
data_PuNb2W
_cell_length_a 3.1394
_cell_length_b 3.1394
_cell_length_c 9.3058
_cell_angle_alpha 80.29
_cell_angle_beta 80.29
_cell_angle_gamma 60.00
_symmetry_space_group_name_H-M 'P 1'
_symmetry_Int_Tables_number 1
loop_
_symmetry_equiv_pos_as_xyz
'x,y,z'
loop_
_atom_site_label
_atom_site_type_symbol
_atom_site_fract_x
_atom_site_fract_y
_atom_site_fract_z
Nb1 Nb 0.2585 0.2585 0.2244
Nb2 Nb 0.7415 0.7415 0.7756
Pu1 Pu 0.5000 0.5000 0.5000
W1 W 0.0000 0.0000 0.0000
```

Properties
Energy relative to the lowest polymorph listed for this composition in eV/atom: 0.181
ΔE_f in eV per atom: 0.36
Total magnetic moment in Bohr magnetons per cell: 5.10
Theoretical density in g/cm³: 13.080
Energy in eV per cell: -46.0
Space-group type: R-3m, No. 166

=====

# 6
Entry from Alexandria via LeMat-Bulk: a geometry-optimized PuNb2W structure (PBE-GGA).

Geometry as CIF:
```
data_PuNb2W
_cell_length_a 3.2333
_cell_length_b 3.2333
_cell_length_c 7.2873
_cell_angle_alpha 90.00
_cell_angle_beta 90.00
_cell_angle_gamma 90.00
_symmetry_space_group_name_H-M 'P 1'
_symmetry_Int_Tables_number 1
loop_
_symmetry_equiv_pos_as_xyz
'x,y,z'
loop_
_atom_site_label
_atom_site_type_symbol
_atom_site_fract_x
_atom_site_fract_y
_atom_site_fract_z
W1 W 0.5000 0.5000 0.0000
Nb1 Nb 0.0000 0.0000 0.2211
Nb2 Nb 0.0000 0.0000 0.7789
Pu1 Pu 0.5000 0.5000 0.5000
```

Properties
Energy relative to the lowest polymorph listed for this composition in eV/atom: 0.000
ΔE_f in eV per atom: 0.18
Total magnetic moment in Bohr magnetons per cell: 5.02
Theoretical density in g/cm³: 13.376
Energy in eV per cell: -46.7
Space-group type: P4/mmm, No. 123

=====

# 7
Entry from Alexandria via LeMat-Bulk: a geometry-optimized PuNb2Zn structure (PBE-GGA).

Geometry as CIF:
```
data_PuNb2Zn
_cell_length_a 3.6587
_cell_length_b 4.4727
_cell_length_c 4.4727
_cell_angle_alpha 90.00
_cell_angle_beta 90.00
_cell_angle_gamma 90.00
_symmetry_space_group_name_H-M 'P 1'
_symmetry_Int_Tables_number 1
loop_
_symmetry_equiv_pos_as_xyz
'x,y,z'
loop_
_atom_site_label
_atom_site_type_symbol
_atom_site_fract_x
_atom_site_fract_y
_atom_site_fract_z
Nb1 Nb 0.0000 0.5000 0.0000
Zn1 Zn 0.5000 0.5000 0.5000
Pu1 Pu 0.5000 0.0000 0.0000
Nb2 Nb 0.0000 0.0000 0.5000
```

Properties
Energy relative to the lowest polymorph listed for this composition in eV/atom: 0.000
ΔE_f in eV per atom: 0.13
Total magnetic moment in Bohr magnetons per cell: 4.66
Theoretical density in g/cm³: 11.235
Energy in eV per cell: -35.2
Space-group type: P4/mmm, No. 123

=====

# 8
Entry from Alexandria via LeMat-Bulk: a geometry-optimized PuNb2Zn structure (PBE-GGA).

Geometry as CIF:
```
data_PuNb2Zn
_cell_length_a 2.8943
_cell_length_b 2.8943
_cell_length_c 10.7250
_cell_angle_alpha 82.25
_cell_angle_beta 82.25
_cell_angle_gamma 60.00
_symmetry_space_group_name_H-M 'P 1'
_symmetry_Int_Tables_number 1
loop_
_symmetry_equiv_pos_as_xyz
'x,y,z'
loop_
_atom_site_label
_atom_site_type_symbol
_atom_site_fract_x
_atom_site_fract_y
_atom_site_fract_z
Nb1 Nb 0.0927 0.0927 0.7219
Zn1 Zn 0.5000 0.5000 0.5000
Nb2 Nb 0.9073 0.9073 0.2781
Pu1 Pu 0.0000 0.0000 0.0000
```

Properties
Energy relative to the lowest polymorph listed for this composition in eV/atom: 0.276
ΔE_f in eV per atom: 0.41
Total magnetic moment in Bohr magnetons per cell: 4.98
Theoretical density in g/cm³: 10.700
Energy in eV per cell: -34.1
Space-group type: R-3m, No. 166